This record from Alexandria via LeMat-Bulk describes an optimized crystal structure of V3Mo3W2. The functional is PBE-GGA.

Results
- offset from the most stable computed form (meV per atom) = 0
- total magnetic moment (μB/atom) = 0.000
- DFT total energy (eV per cell) = -86.71
- V (Å³/cell) = 120
- E_form (eV per atom) = -0.12

a b c (Å): 9.1611 9.1611 9.1611
angles (deg): 160.46 152.18 34.23
With the nearest neighbours (Å) after each atom.
Sites, in units of the cell vectors:
1 V 0.0000 0.0000 0.0000  8 Mo 2.66-2.70
2 V 0.3778 0.8778 0.5000  6 Mo 2.65-2.70, 2 W 2.73
3 V 0.6222 0.1222 0.5000  6 Mo 2.65-2.70, 2 W 2.73
4 Mo 0.1232 0.6232 0.5000  6 V 2.66-2.70, 2 W 2.70
5 Mo 0.5000 0.5000 0.0000  8 V 2.65-2.70
6 Mo 0.8768 0.3768 0.5000  6 V 2.66-2.70, 2 W 2.70
7 W 0.2494 0.2494 0.0000  4 W 2.70, 2 Mo 2.70, 2 V 2.73
8 W 0.7506 0.7506 0.0000  4 W 2.70, 2 Mo 2.70, 2 V 2.73

***

This record from Alexandria via LeMat-Bulk describes an optimized crystal structure of PuPaBi. The functional is PBE-GGA.

Results
- offset from the most stable computed form (meV per atom) = 208
- total magnetic moment (μB/atom) = 2.239
- DFT total energy (eV per cell) = -27.50
- V (Å³/cell) = 78
- E_form (eV per atom) = 0.07

a b c (Å): 5.1509 5.1509 3.3779
angles (deg): 90.00 90.00 120.00
With the nearest neighbours (Å) after each atom.
Sites, in units of the cell vectors:
1 Pu 0.0000 0.0000 0.0000  3 Pa 2.97
2 Pa 0.6667 0.3333 0.9916  3 Pu 2.97
3 Bi 0.3333 0.6667 0.4938  2 Bi 3.38, 6 Pu 3.41-3.43, 6 Pa 3.42

***

This record from Alexandria via LeMat-Bulk describes an optimized crystal structure of Pm7Nd2YTl2. The functional is PBE-GGA.

Results
- total magnetic moment (μB/atom) = 0.004
- DFT total energy (eV per cell) = -54.20
- V (Å³/cell) = 404
- E_form (eV per atom) = -0.02

a b c (Å): 6.1794 6.1794 11.3550
angles (deg): 90.06 90.06 68.63
With the nearest neighbours (Å) after each atom.
Sites, in units of the cell vectors:
1 Pm 0.0000 0.0000 0.0000  2 Y 3.48, 8 Pm 3.63
2 Pm 0.0003 0.5001 0.1685  2 Tl 3.30, 4 Pm 3.48-3.63, 2 Y 3.63
3 Pm 0.9997 0.4999 0.8315  2 Tl 3.30, 4 Pm 3.48-3.63, 2 Y 3.63
4 Pm 0.3189 0.3189 0.4995  2 Tl 3.19
5 Pm 0.5001 0.0003 0.1685  2 Tl 3.30, 4 Pm 3.48-3.63, 2 Y 3.63
6 Pm 0.4999 0.9997 0.8315  2 Tl 3.30, 4 Pm 3.48-3.63, 2 Y 3.63
7 Pm 0.6811 0.6811 0.5005  2 Tl 3.19
8 Nd 0.0000 0.0000 0.3493  1 Nd 3.42, 2 Tl 3.60, 6 Pm 3.67-3.71
9 Nd 0.0000 0.0000 0.6507  1 Nd 3.42, 2 Tl 3.60, 6 Pm 3.67-3.71
10 Y 0.5000 0.5000 0.0000  2 Tl 3.08
11 Tl 0.4994 0.4994 0.7289  1 Y 3.08, 6 Pm 3.19-3.30
12 Tl 0.5006 0.5006 0.2711  1 Y 3.08, 6 Pm 3.19-3.30

***

This record from Alexandria via LeMat-Bulk describes an optimized crystal structure of RbCa3Cr. The functional is PBE-GGA.

Results
- offset from the most stable computed form (meV per atom) = 0
- total magnetic moment (μB/atom) = 0.935
- DFT total energy (eV per cell) = -14.19
- V (Å³/cell) = 233
- E_form (eV per atom) = 0.48

a b c (Å): 6.1543 6.1543 6.1543
angles (deg): 90.00 90.00 90.00
With the nearest neighbours (Å) after each atom.
Sites, in units of the cell vectors:
1 Rb 0.0000 0.0000 0.0000  12 Ca 4.35
2 Ca 0.0000 0.5000 0.5000  2 Cr 3.08
3 Ca 0.5000 0.0000 0.5000  2 Cr 3.08
4 Ca 0.5000 0.5000 0.0000  2 Cr 3.08
5 Cr 0.5000 0.5000 0.5000  6 Ca 3.08

***

This record from Alexandria via LeMat-Bulk describes an optimized crystal structure of La2Se3. The functional is PBE-GGA.

Results
- total magnetic moment (μB/atom) = 0.000
- DFT total energy (eV per cell) = -29.23
- V (Å³/cell) = 134

a b c (Å): 9.0758 9.0758 9.0758
angles (deg): 154.97 154.97 35.70
With the nearest neighbours (Å) after each atom.
Sites, in units of the cell vectors:
1 La 0.1222 0.1222 0.0000  5 Se 3.04-3.18
2 La 0.8778 0.8778 0.0000  5 Se 3.04-3.18
3 Se 0.3063 0.3063 0.0000  5 La 3.04-3.18, 5 Se 3.35-3.39
4 Se 0.5000 0.5000 0.0000  2 Se 3.35, 8 La 3.49
5 Se 0.6937 0.6937 0.0000  5 La 3.04-3.18, 5 Se 3.35-3.39

***

This record from Alexandria via LeMat-Bulk describes an optimized crystal structure of Ba2CaHo. The functional is PBE-GGA.

Results
- offset from the most stable computed form (meV per atom) = 149
- total magnetic moment (μB/atom) = 0.000
- DFT total energy (eV per cell) = -9.06
- V (Å³/cell) = 182
- E_form (eV per atom) = 0.34

a b c (Å): 14.3226 14.3226 14.3226
angles (deg): 15.47 15.47 15.47
With the nearest neighbours (Å) after each atom.
Sites, in units of the cell vectors:
1 Ba 0.0839 0.0839 0.0839  1 Ho 3.56, 6 Ba 3.85
2 Ba 0.9161 0.9161 0.9161  1 Ho 3.56, 6 Ba 3.85
3 Ca 0.5000 0.5000 0.5000  6 Ca 3.85, 6 Ba 4.16
4 Ho 0.0000 0.0000 0.0000  2 Ba 3.56, 6 Ho 3.85

***

This record from Alexandria via LeMat-Bulk describes an optimized crystal structure of LaPaCuOs. The functional is PBE-GGA.

Results
- total magnetic moment (μB/atom) = 0.000
- DFT total energy (eV per cell) = -29.74
- V (Å³/cell) = 87
- E_form (eV per atom) = 0.00

a b c (Å): 4.9665 4.9665 4.9665
angles (deg): 60.00 60.00 60.00
With the nearest neighbours (Å) after each atom.
Sites, in units of the cell vectors:
1 La 0.0000 0.0000 0.0000  4 Os 3.04, 4 Cu 3.04
2 Pa 0.5000 0.5000 0.5000  4 Os 3.04, 4 Cu 3.04
3 Cu 0.2500 0.2500 0.2500  4 La 3.04, 4 Pa 3.04
4 Os 0.7500 0.7500 0.7500  4 Pa 3.04, 4 La 3.04

***

This record from Alexandria via LeMat-Bulk describes an optimized crystal structure of Cd2SiTc2. The functional is PBE-GGA.

Results
- offset from the most stable computed form (meV per atom) = 634
- total magnetic moment (μB/atom) = 0.000
- DFT total energy (eV per cell) = -24.51
- V (Å³/cell) = 100

a b c (Å): 8.7085 8.7085 8.7085
angles (deg): 157.15 157.15 32.54
With the nearest neighbours (Å) after each atom.
Sites, in units of the cell vectors:
1 Cd 0.1030 0.1030 0.0000  4 Si 2.99, 4 Tc 3.00
2 Cd 0.8970 0.8970 0.0000  4 Si 2.99, 4 Tc 3.00
3 Si 0.5000 0.5000 0.0000  8 Cd 2.99
4 Tc 0.2500 0.7500 0.5000  4 Tc 2.44
5 Tc 0.7500 0.2500 0.5000  4 Tc 2.44

***

This record from Alexandria via LeMat-Bulk describes an optimized crystal structure of Sm5Dy3. The functional is PBE-GGA.

Results
- offset from the most stable computed form (meV per atom) = 6
- total magnetic moment (μB/atom) = 0.000
- DFT total energy (eV per cell) = -37.20
- V (Å³/cell) = 267
- E_form (eV per atom) = 0.02

a b c (Å): 3.6558 5.7596 12.6598
angles (deg): 90.00 90.00 90.00
With the nearest neighbours (Å) after each atom.
Sites, in units of the cell vectors:
1 Sm 0.0000 0.0000 0.0000  6 Dy 3.57-3.62, 6 Sm 3.58-3.68
2 Sm 0.0000 0.0000 0.4946  8 Sm 3.57-3.69, 4 Dy 3.57-3.63
3 Sm 0.0000 0.5000 0.8314  10 Sm 3.57-3.70, 2 Dy 3.67
4 Sm 0.5000 0.0000 0.7481  12 Sm 3.57-3.69
5 Sm 0.5000 0.5000 0.5770  10 Sm 3.57-3.70, 2 Dy 3.64
6 Dy 0.0000 0.5000 0.3281  8 Dy 3.56-3.66, 4 Sm 3.57-3.64
7 Dy 0.5000 0.0000 0.2464  8 Dy 3.55-3.66, 4 Sm 3.62-3.63
8 Dy 0.5000 0.5000 0.0828  6 Dy 3.55-3.66, 6 Sm 3.57-3.67

***

This record from Alexandria via LeMat-Bulk describes an optimized crystal structure of KZrIn. The functional is PBE-GGA.

Results
- offset from the most stable computed form (meV per atom) = 593
- total magnetic moment (μB/atom) = 0.000
- DFT total energy (eV per cell) = -10.76
- V (Å³/cell) = 86
- E_form (eV per atom) = 0.54

a b c (Å): 5.5320 5.5320 3.2470
angles (deg): 90.00 90.00 120.00
With the nearest neighbours (Å) after each atom.
Sites, in units of the cell vectors:
1 K 0.0000 0.0000 0.0000  2 K 3.25, 6 Zr 3.58, 6 In 3.58
2 Zr 0.6667 0.3333 0.5000  3 In 3.19, 2 Zr 3.25
3 In 0.3333 0.6667 0.5000  3 Zr 3.19, 2 In 3.25

***

This record from Alexandria via LeMat-Bulk describes an optimized crystal structure of MnNb3Co. The functional is PBE-GGA.

Results
- offset from the most stable computed form (meV per atom) = 0
- total magnetic moment (μB/atom) = 0.000
- DFT total energy (eV per cell) = -41.35
- V (Å³/cell) = 93
- E_form (eV per atom) = 1.03

a b c (Å): 4.5248 4.5248 4.5248
angles (deg): 90.00 90.00 90.00
With the nearest neighbours (Å) after each atom.
Sites, in units of the cell vectors:
1 Mn 0.0000 0.0000 0.0000  6 Nb 2.26
2 Nb 0.0000 0.0000 0.5000  2 Mn 2.26
3 Nb 0.0000 0.5000 0.0000  2 Mn 2.26
4 Nb 0.5000 0.0000 0.0000  2 Mn 2.26
5 Co 0.5000 0.5000 0.5000  12 Nb 3.20

***

This record from Alexandria via LeMat-Bulk describes an optimized crystal structure of LiGa2Si. The functional is PBE-GGA.

Results
- total magnetic moment (μB/atom) = 0.000
- DFT total energy (eV per cell) = -26.59
- V (Å³/cell) = 153

a b c (Å): 6.0646 6.0646 6.0646
angles (deg): 99.84 99.84 131.17
With the nearest neighbours (Å) after each atom.
Sites, in units of the cell vectors:
1 Li 0.0000 0.0000 0.0000  2 Si 2.51
2 Li 0.7500 0.2500 0.5000  2 Si 2.51
3 Ga 0.1922 0.6250 0.0672  2 Si 2.50, 2 Ga 2.72
4 Ga 0.3750 0.4422 0.5672  2 Si 2.50, 2 Ga 2.72
5 Ga 0.5578 0.1250 0.9328  2 Si 2.50, 2 Ga 2.72
6 Ga 0.8750 0.8078 0.4328  2 Si 2.50, 2 Ga 2.72
7 Si 0.2500 0.7500 0.5000  4 Ga 2.50, 2 Li 2.51
8 Si 0.5000 0.5000 0.0000  4 Ga 2.50, 2 Li 2.51

***

This record from Alexandria via LeMat-Bulk describes an optimized crystal structure of Nd4Ga2Rh. The functional is PBE-GGA.

Results
- total magnetic moment (μB/atom) = 0.000
- DFT total energy (eV per cell) = -35.49
- V (Å³/cell) = 191
- E_form (eV per atom) = -0.43

a b c (Å): 6.2950 6.2950 5.0718
angles (deg): 90.00 90.00 108.37
With the nearest neighbours (Å) after each atom.
Sites, in units of the cell vectors:
1 Nd 0.0000 0.5000 0.5000  4 Ga 3.14, 2 Rh 3.15
2 Nd 0.2424 0.2424 0.0000  2 Rh 3.10, 4 Ga 3.11-3.19
3 Nd 0.5000 0.0000 0.5000  4 Ga 3.14, 2 Rh 3.15
4 Nd 0.7576 0.7576 0.0000  2 Rh 3.10, 4 Ga 3.11-3.19
5 Ga 0.2585 0.7415 0.0000  8 Nd 3.11-3.19
6 Ga 0.7415 0.2585 0.0000  8 Nd 3.11-3.19
7 Rh 0.0000 0.0000 0.5000  8 Nd 3.10-3.15